(1)
Compound: CuAg2Os
Source: the Alexandria database
Functional: PBE-GGA
Structure: relaxed

## Properties
DOS at the Fermi energy = 4.26 states/eV per cell

```
data_CuAg2Os
_chemical_formula_sum 'Cu1 Ag2 Os1'
_cell_length_a 2.6710
_cell_length_b 4.0016
_cell_length_c 5.8680
_cell_angle_alpha 90.00
_cell_angle_beta 90.00
_cell_angle_gamma 90.00
_symmetry_space_group_name_H-M 'P m m 2'
_symmetry_Int_Tables_number 25
loop_
_symmetry_equiv_pos_as_xyz
'x,y,z'
'-x,-y,z'
'-x,y,z'
'x,-y,z'
loop_
_atom_site_label
_atom_site_type_symbol
_atom_site_fract_x
_atom_site_fract_y
_atom_site_fract_z
Cu1 Cu 0.0000 0.0000 0.0000
Ag1 Ag 0.0000 0.0000 0.4605
Ag2 Ag 0.5000 0.5000 0.7259
Os1 Os 0.5000 0.5000 0.1974
```

=====

(2)
Compound: Cu2AgOs
Source: the Alexandria database
Functional: PBE-GGA
Structure: relaxed

## Properties
DOS at the Fermi energy = 4.07 states/eV per cell

```
data_Cu2AgOs
_chemical_formula_sum 'Cu2 Ag1 Os1'
_cell_length_a 2.6010
_cell_length_b 4.0257
_cell_length_c 5.4257
_cell_angle_alpha 90.00
_cell_angle_beta 90.00
_cell_angle_gamma 90.00
_symmetry_space_group_name_H-M 'P m m 2'
_symmetry_Int_Tables_number 25
loop_
_symmetry_equiv_pos_as_xyz
'x,y,z'
'-x,-y,z'
'-x,y,z'
'x,-y,z'
loop_
_atom_site_label
_atom_site_type_symbol
_atom_site_fract_x
_atom_site_fract_y
_atom_site_fract_z
Cu1 Cu 0.0000 0.0000 0.0000
Cu2 Cu 0.5000 0.5000 0.2586
Ag1 Ag 0.5000 0.5000 0.7601
Os1 Os 0.0000 0.0000 0.4723
```

=====

ΔE_f for every record listed, in sequence, given in eV/atom: 0.5451 0.4851.
Total magnetization for every record listed, in sequence, given in μB/atom: 0.000 0.000.